A plane-wave DFT calculation with PBE was carried out for a geometry-optimized Li2Pu2Ni15 structure.

a b c (Å): 8.2338 8.2338 12.0135
angles (deg): 90.00 90.00 120.00
Space group R-3m (No. 166, hexagonal axes)
Unique sites:
Li (0.0000, 0.0000, 0.0922) (multiplicity 6)
Pu (0.0000, 0.0000, 0.3446) (multiplicity 6)
Ni (0.0000, 0.3128, 0.0000) (multiplicity 18)
Ni (0.0000, 0.5000, 0.5000) (multiplicity 9)
Ni (0.0039, 0.5019, 0.1571) (multiplicity 18)

Summary:
The total energy is -6.055 eV/atom. The total moment is 3.77 μB per formula unit.

---

A plane-wave DFT calculation with PBE was carried out for a geometry-optimized AgPbSeF structure.

a b c (Å): 4.022 4.022 11.315
angles (deg): 90.00 90.00 90.00
Space group P4/nmm (No. 129, origin choice 2)
Unique sites:
Ag (0.250, 0.250, 0.127) (multiplicity 2)
Pb (0.250, 0.250, 0.637) (multiplicity 2)
Se (0.250, 0.250, 0.884) (multiplicity 2)
F (0.250, 0.750, 0.500) (multiplicity 2)

Summary:
The value obtained for the energy above the most stable polymorph in this dataset is 280.7 meV per atom. The total energy is -3.740 eV/atom.

---

A plane-wave DFT calculation with PBE was carried out for a geometry-optimized NaAu4 structure.

a b c (Å): 4.124 4.124 12.640
angles (deg): 90.00 90.00 90.00
Space group I4/mmm (No. 139)
Unique sites:
Na (0.000, 0.000, 0.000) (multiplicity 2)
Au (0.000, 0.000, 0.398) (multiplicity 4)
Au (0.000, 0.500, 0.250) (multiplicity 4)

Summary:
The total energy is -2.991 eV/atom.

---

A plane-wave DFT calculation with PBE was carried out for a geometry-optimized DySn structure.

a b c (Å): 6.953 6.953 6.953
angles (deg): 90.00 90.00 90.00
Space group F-43m (No. 216)
Unique sites:
Dy (0.000, 0.000, 0.000) (multiplicity 4)
Sn (0.250, 0.250, 0.750) (multiplicity 4)

Summary:
The total energy is -4.007 eV/atom. The total moment is 0.10 μB per formula unit.

---

A plane-wave DFT calculation with PBE was carried out for a geometry-optimized Mg2Os structure.

a b c (Å): 6.915 6.915 2.695
angles (deg): 90.00 90.00 90.00
Space group P4_2/mnm (No. 136)
Unique sites:
Mg (0.238, 0.238, 0.000) (multiplicity 4)
Os (0.000, 0.000, 0.500) (multiplicity 2)

Summary:
The total energy is -4.350 eV/atom. The total moment is 0.00 μB per formula unit.

---

A plane-wave DFT calculation with PBE was carried out for a geometry-optimized Pr3Zn2Si4Pd2 structure.

a b c (Å): 4.192 4.270 24.585
angles (deg): 90.00 90.00 90.00
Space group Immm (No. 71)
Unique sites:
Pr (0.000, 0.000, 0.000) (multiplicity 2)
Pr (0.000, 0.500, 0.352) (multiplicity 4)
Zn (0.000, 0.500, 0.097) (multiplicity 4)
Si (0.000, 0.000, 0.452) (multiplicity 4)
Si (0.000, 0.500, 0.196) (multiplicity 4)
Pd (0.000, 0.000, 0.250) (multiplicity 4)

Summary:
The value obtained for the energy above the most stable polymorph in this dataset is 0.0 meV per atom. The total energy is -5.203 eV/atom. The total moment is 0.01 μB per formula unit.

---

A plane-wave DFT calculation with PBE was carried out for a geometry-optimized Cs2PdPtBr6 structure.

a b c (Å): 10.641 10.641 10.641
angles (deg): 90.00 90.00 90.00
Space group Fm-3m (No. 225)
Unique sites:
Cs (0.250, 0.250, 0.250) (multiplicity 8)
Pd (0.000, 0.000, 0.000) (multiplicity 4)
Pt (0.000, 0.000, 0.500) (multiplicity 4)
Br (0.000, 0.000, 0.254) (multiplicity 24)

Summary:
The total energy is -3.161 eV/atom. The total moment is 0.00 μB per formula unit.

---

A plane-wave DFT calculation with PBE was carried out for a geometry-optimized Pr2GeO5 structure.

a b c (Å): 9.517 7.304 7.027
angles (deg): 90.00 106.47 90.00
Space group P2_1/c (No. 14)
Unique sites:
Pr (0.023, 0.128, 0.232) (multiplicity 4)
Pr (0.374, 0.136, 0.062) (multiplicity 4)
Ge (0.301, 0.590, 0.030) (multiplicity 4)
O (0.111, 0.631, 0.997) (multiplicity 4)
O (0.113, 0.118, 0.942) (multiplicity 4)
O (0.288, 0.082, 0.342) (multiplicity 4)
O (0.387, 0.709, 0.500) (multiplicity 4)
O (0.394, 0.052, 0.731) (multiplicity 4)

Summary:
The value obtained for the energy above the most stable polymorph in this dataset is 0.0 meV per atom. The total energy is -7.672 eV/atom. The total moment is 0.00 μB per formula unit.